Entry one
LaThHg | Alexandria | GGA-PBE | optimized geometry; spin magnetization = 0.000 μB per cell
1.0
-3.309 1.304 1.018
1.563 -0.311 5.479
4.779 7.604 -0.931
La Th Hg
2 2 2
Cartesian
0.950 1.401 1.294
2.083 7.196 4.272
0.453 5.112 1.647
2.579 3.485 3.919
-0.068 1.513 4.562
3.101 7.084 1.004

***

Entry two
LaThHg | Alexandria | GGA-PBE | optimized geometry; spin magnetization = 0.000 μB per cell
1.0
3.801 0.000 0.000
0.000 3.801 0.000
-1.900 -1.900 6.533
La Hg Th
1 1 1
Cartesian
0.000 0.000 0.158
1.900 1.900 2.208
0.000 0.000 4.168

***

How do the energies compare? Relative to the most stable structure, in kJ/mol of atoms: entry one 0.0; entry two 5.3.

***

Entry one
LaTh2Hg | Alexandria | GGA-PBE | optimized geometry; spin magnetization = 0.000 μB per cell
1.0
-0.078 4.226 -2.641
-3.811 -1.710 -2.625
-3.132 1.979 3.258
Hg La Th
1 1 2
Cartesian
-3.511 2.247 -1.004
-0.039 2.113 -1.320
-1.906 -0.855 -1.312
-1.566 0.989 1.629

***

Entry two
LaTh2Hg | Alexandria | GGA-PBE | optimized geometry; spin magnetization = 0.001 μB per cell
1.0
3.685 0.000 0.000
0.000 3.685 0.000
0.000 0.000 9.248
Th La Hg
2 1 1
Cartesian
0.000 0.000 7.176
0.000 0.000 2.072
1.843 1.843 4.624
1.843 1.843 0.000

***

How do the energies compare? Relative to the most stable structure, in kJ/mol of atoms: entry one 0.0; entry two 2.9.

***

Entry one
La2ThHg | Alexandria | GGA-PBE | optimized geometry; spin magnetization = 0.000 μB per cell
1.0
-2.224 -1.989 -4.080
2.024 -4.391 1.037
-3.953 -1.177 2.729
La Hg Th
2 1 1
Cartesian
1.012 -2.196 0.519
-1.976 -0.589 1.364
-1.112 -0.995 -2.040
-2.077 -3.779 -0.157

***

Entry two
La2ThHg | Alexandria | GGA-PBE | optimized geometry; spin magnetization = 0.000 μB per cell
1.0
3.697 0.000 0.000
0.000 3.697 0.000
0.000 0.000 9.244
Hg Th La
1 1 2
Cartesian
1.848 1.848 0.000
1.848 1.848 4.622
0.000 0.000 2.167
0.000 0.000 7.076

***

Entry three
La2ThHg | Alexandria | GGA-PBE | optimized geometry; spin magnetization = 0.100 μB per cell
1.0
-0.325 5.446 -1.387
-2.308 1.523 -4.903
-4.996 2.592 -0.074
Hg La Th
1 2 1
Cartesian
-3.815 4.780 -3.182
-5.722 7.170 -4.773
-1.907 2.390 -1.591
0.000 0.000 0.000

***

Entry four
La2ThHg | Alexandria | GGA-PBE | optimized geometry; spin magnetization = 0.000 μB per cell
1.0
-3.152 0.848 -1.287
-2.851 -1.759 1.041
-3.576 7.625 9.001
Th Hg La
1 1 2
Cartesian
0.000 0.000 0.000
-4.790 3.357 4.377
-6.446 1.316 2.306
-3.134 5.398 6.449

***

How do the energies compare? Relative to the most stable structure, in kJ/mol of atoms: entry one 13.7; entry two 0.0; entry three 25.3; entry four 31.5.

***

Entry one
LaTlHg3 | Alexandria | GGA-PBE | optimized geometry; spin magnetization = 0.000 μB per cell
1.0
5.520 0.000 0.000
0.000 5.520 0.000
0.000 0.000 5.520
La Tl Hg
1 1 3
Cartesian
2.760 2.760 2.760
0.000 0.000 0.000
0.000 2.760 0.000
0.000 0.000 2.760
2.760 0.000 0.000

***

Entry two
LaTlHg3 | Alexandria | GGA-PBE | optimized geometry; spin magnetization = 0.000 μB per cell
1.0
-4.722 2.980 -0.876
-0.365 -3.249 -4.610
-2.194 -3.720 3.646
Hg La Tl
3 1 1
Cartesian
-2.485 0.717 -0.510
-0.858 -1.609 -1.904
-1.541 -1.785 1.179
-6.637 -3.636 -1.678
-3.856 -2.113 -0.975

***

Entry three
LaTlHg3 | Alexandria | GGA-PBE | optimized geometry; spin magnetization = 0.002 μB per cell
1.0
6.081 0.000 0.000
0.000 6.081 0.000
0.000 0.000 6.081
La Tl Hg
1 1 3
Cartesian
0.000 0.000 0.000
3.041 3.041 3.041
3.041 0.000 0.000
0.000 0.000 3.041
0.000 3.041 0.000

***

How do the energies compare? Relative to the most stable structure, in kJ/mol of atoms: entry one 21.1; entry two 0.0; entry three 30.6.

***

Entry one
LaTlHg2 | Alexandria | GGA-PBE | optimized geometry; spin magnetization = 0.000 μB per cell
1.0
9.831 0.096 0.057
9.060 3.816 0.057
9.060 1.876 3.324
Tl La Hg
1 1 2
Cartesian
20.773 4.302 2.555
14.063 2.912 1.729
7.161 1.483 0.881
27.880 5.773 3.429

***

Entry two
LaTlHg2 | Alexandria | GGA-PBE | optimized geometry; spin magnetization = 0.000 μB per cell
1.0
-1.504 2.553 3.741
-4.459 -1.527 -0.751
-1.174 -7.976 8.016
Hg La Tl
4 2 2
Cartesian
-3.221 -2.709 1.885
-6.238 -5.132 8.604
-2.976 -5.549 7.156
-1.838 -0.509 4.365
-2.982 0.513 1.495
-4.307 -4.495 4.380
0.000 0.000 0.000
-2.830 -2.455 6.626

***

Entry three
LaTlHg2 | Alexandria | GGA-PBE | optimized geometry; spin magnetization = 0.000 μB per cell
1.0
5.314 -0.195 0.239
2.697 4.583 0.239
2.635 1.443 4.534
La Hg Tl
1 2 1
Cartesian
5.325 2.916 2.504
7.986 4.373 3.756
8.010 4.387 0.481
2.660 1.457 1.254

***

Entry four
LaTlHg2 | Alexandria | GGA-PBE | optimized geometry; spin magnetization = 0.000 μB per cell
1.0
0.000 3.792 3.792
3.792 0.000 3.792
3.792 3.792 0.000
Hg La Tl
2 1 1
Cartesian
1.896 1.896 1.896
5.688 5.688 5.688
0.000 0.000 0.000
3.792 3.792 3.792

***

How do the energies compare? Relative to the most stable structure, in kJ/mol of atoms: entry one 28.0; entry two 21.7; entry three 6.9; entry four 0.0.

***

Entry one
LaTlHg4 | Alexandria | GGA-PBE | optimized geometry; spin magnetization = 0.000 μB per cell
1.0
-5.164 -2.520 2.118
-4.409 -1.686 -3.901
-1.127 -5.941 -0.965
Hg La Tl
4 1 1
Cartesian
-6.594 -5.066 0.028
-4.576 -6.776 -1.513
-6.217 -4.648 -2.981
-4.013 -3.806 -1.031
-8.025 -7.611 -2.061
0.000 0.000 0.000

***

Entry two
LaTlHg4 | Alexandria | GGA-PBE | optimized geometry; spin magnetization = 0.000 μB per cell
1.0
-2.833 -0.442 -4.334
-5.770 0.768 3.693
-2.457 9.304 0.658
Hg Tl La
8 2 2
Cartesian
-7.691 5.662 -0.222
-3.368 3.968 0.240
-4.674 5.257 -2.153
-4.534 8.241 -2.549
-6.525 1.390 2.566
-7.575 8.646 -0.602
-6.385 4.373 2.171
-3.484 0.985 0.619
-4.715 7.087 0.802
-6.344 2.544 -0.785
-7.597 7.529 2.641
-3.462 2.102 -2.624

***

How do the energies compare? Relative to the most stable structure, in kJ/mol of atoms: entry one 10.4; entry two 0.0.

***

Entry one
La2TlHg2 | Alexandria | GGA-PBE | optimized geometry; spin magnetization = 0.000 μB per cell
1.0
-2.943 -2.964 4.399
4.528 -4.024 0.318
2.876 -0.900 5.500
Hg Tl La
2 1 2
Cartesian
3.052 -5.162 6.929
1.409 -2.726 3.288
0.000 0.000 0.000
0.363 -3.679 6.129
4.098 -4.209 4.089

***

Entry two
La2TlHg2 | Alexandria | GGA-PBE | optimized geometry; spin magnetization = 0.000 μB per cell
1.0
9.120 0.000 0.000
0.000 9.120 0.000
0.000 0.000 3.757
Hg La Tl
4 4 2
Cartesian
5.733 7.947 1.879
7.947 3.387 1.879
1.173 5.733 1.879
3.387 1.173 1.879
1.540 3.020 0.000
3.020 7.580 0.000
6.100 1.540 0.000
7.580 6.100 0.000
0.000 0.000 0.000
4.560 4.560 0.000

***

Entry three
La2TlHg2 | Alexandria | GGA-PBE | optimized geometry; spin magnetization = 0.512 μB per cell
1.0
4.199 0.000 0.000
0.000 4.199 0.000
2.100 2.100 8.989
La Hg Tl
2 2 1
Cartesian
2.100 2.100 1.861
4.199 4.199 7.127
2.100 4.199 4.494
4.199 2.100 4.494
0.000 0.000 0.000

***

How do the energies compare? Relative to the most stable structure, in kJ/mol of atoms: entry one 17.7; entry two 0.0; entry three 10.1.

***

Entry one
La2TlHg2 | Alexandria | GGA-PBE | optimized geometry; spin magnetization = 0.000 μB per cell
1.0
-0.416 4.310 4.931
1.433 -0.583 6.377
4.658 2.842 3.661
Tl Hg La
1 2 2
Cartesian
0.000 0.000 0.000
2.354 2.728 6.218
3.321 3.842 8.751
1.323 1.531 3.487
4.352 5.039 11.482

***

Entry two
La2TlHg2 | Alexandria | GGA-PBE | optimized geometry; spin magnetization = 0.000 μB per cell
1.0
-6.855 1.166 -5.061
-3.952 -6.610 3.830
-1.595 2.545 2.746
La Hg Tl
4 4 2
Cartesian
-7.743 0.083 -1.559
-4.659 -2.982 3.073
-8.683 -3.398 1.121
-3.718 0.499 0.393
-8.469 -3.108 -2.039
-4.774 -0.096 -2.684
-6.033 -5.348 1.452
-2.338 -2.336 0.807
-5.403 -2.722 -0.616
0.000 0.000 0.000

***

How do the energies compare? Relative to the most stable structure, in kJ/mol of atoms: entry one 4.8; entry two 0.0.

***

Entry one
La6TlHg | Alexandria | GGA-PBE | optimized geometry; spin magnetization = 0.000 μB per cell
1.0
-5.079 1.435 -1.197
-1.617 -1.640 4.897
-1.761 8.296 5.187
La Hg Tl
6 1 1
Cartesian
-2.559 4.075 3.510
-5.899 4.015 5.377
-4.659 7.118 3.835
-2.928 5.581 6.882
-5.530 2.510 2.005
-3.799 0.973 5.052
0.000 0.000 0.000
-3.348 -0.103 1.850

***

Entry two
La6TlHg | Alexandria | GGA-PBE | optimized geometry; spin magnetization = 0.000 μB per cell
1.0
-4.974 7.455 -2.585
-8.887 0.027 0.432
-4.289 3.916 2.766
La Hg Tl
6 1 1
Cartesian
-12.423 6.613 1.424
-5.727 4.784 -0.811
-2.634 2.906 0.097
-10.678 8.169 -1.650
-15.517 8.491 0.517
-7.472 3.229 2.264
0.000 0.000 0.000
-9.075 5.699 0.307

***

How do the energies compare? Relative to the most stable structure, in kJ/mol of atoms: entry one 0.0; entry two 4.4.

***

Entry one
La8TlHg2 | Alexandria | GGA-PBE | optimized geometry; spin magnetization = 0.000 μB per cell
1.0
-2.365 -3.192 3.404
-5.160 -3.148 -6.536
9.027 -2.336 0.061
La Hg Tl
8 2 1
Cartesian
-3.264 -5.599 -3.497
-1.683 -1.027 -2.132
0.021 -7.127 -2.648
2.461 -4.483 -2.493
-0.959 -4.193 -0.578
1.481 -1.548 -0.423
4.765 -3.076 0.426
3.185 -7.649 -0.939
2.006 -4.931 0.790
-0.504 -3.745 -3.861
-1.182 -1.596 1.702

***

Entry two
La8TlHg2 | Alexandria | GGA-PBE | optimized geometry; spin magnetization = 0.000 μB per cell
1.0
5.796 -0.244 -0.366
-1.300 8.713 -0.601
-1.300 -3.910 7.809
La Hg Tl
8 2 1
Cartesian
1.598 -1.159 5.712
3.206 5.013 4.571
2.993 1.753 2.631
-0.011 -0.454 2.272
1.598 5.718 1.131
0.203 2.806 4.212
3.206 2.287 6.387
-0.011 2.272 0.456
-1.300 4.828 1.988
-1.300 -0.025 5.221
2.898 -0.122 -0.183

***

How do the energies compare? Relative to the most stable structure, in kJ/mol of atoms: entry one 0.0; entry two 2.0.